Material: LuScNb
Method: DFT, PBE
State: optimized geometry

Cell lengths 4.8591, 4.8591, 4.8591 Å; angles 60.00, 60.00, 60.00 degrees
Closest atoms and distances in Å follow each position.
Sites, in units of the cell vectors:
Lu: 0.2500 0.2500 0.2500  4 Nb 2.98
Nb: 0.0000 0.0000 0.0000  4 Sc 2.98, 4 Lu 2.98
Sc: 0.7500 0.7500 0.7500  4 Nb 2.98

Summary:
Density   6.4 g cm⁻³
Total DFT energy (no corrections)   -18.5 eV for the cell shown

***

Material: Lu2ScNb
Method: DFT, PBE
State: optimized geometry

Cell lengths 5.1356, 5.1356, 5.1356 Å; angles 60.00, 60.00, 60.00 degrees
Closest atoms and distances in Å follow each position.
Sites, in units of the cell vectors:
Lu: 0.2500 0.2500 0.2500  4 Sc 3.14, 4 Lu 3.14
Lu: 0.5000 0.5000 0.5000  4 Nb 3.14, 4 Lu 3.14
Nb: 0.7500 0.7500 0.7500  4 Lu 3.14, 4 Sc 3.14
Sc: 0.0000 0.0000 0.0000  4 Nb 3.14, 4 Lu 3.14

Summary:
Density   8.5 g cm⁻³
Total DFT energy (no corrections)   -24.4 eV for the cell shown

***

Material: LuScNb2
Method: DFT, PBE
State: optimized geometry

Cell lengths 4.9168, 4.9168, 4.9168 Å; angles 60.00, 60.00, 60.00 degrees
Closest atoms and distances in Å follow each position.
Sites, in units of the cell vectors:
Lu: 0.2500 0.2500 0.2500  4 Sc 3.01, 4 Nb 3.01
Nb: 0.0000 0.0000 0.0000  4 Nb 3.01, 4 Lu 3.01
Nb: 0.7500 0.7500 0.7500  4 Nb 3.01, 4 Sc 3.01
Sc: 0.5000 0.5000 0.5000  4 Lu 3.01, 4 Nb 3.01

Summary:
Density   8.0 g cm⁻³
Total DFT energy (no corrections)   -30.3 eV for the cell shown

***

Material: LuNbSe2
Method: DFT, PBE
State: optimized geometry

Cell lengths 5.5189, 5.5212, 5.5236 Å; angles 86.53, 86.51, 86.31 degrees
Closest atoms and distances in Å follow each position.
Sites, in units of the cell vectors:
Lu: 0.2597 0.2607 0.4202  6 Se 2.72-2.84
Lu: 0.7403 0.7393 0.5798  6 Se 2.72-2.84
Nb: 0.6772 0.3237 0.0000  1 Nb 2.67, 4 Se 2.69-2.83
Nb: 0.3228 0.6763 0.0000  1 Nb 2.67, 4 Se 2.69-2.83
Se: 0.7830 0.7841 0.0635  4 Nb 2.69-3.00, 2 Lu 2.72-2.84
Se: 0.2478 0.7535 0.4991  4 Lu 2.78-2.81, 2 Nb 2.82-2.83
Se: 0.7522 0.2465 0.5009  4 Lu 2.78-2.81, 2 Nb 2.82-2.83
Se: 0.2170 0.2159 0.9365  4 Nb 2.69-3.00, 2 Lu 2.72-2.84

Summary:
Density   8.4 g cm⁻³
Total DFT energy (no corrections)   -51.4 eV for the cell shown

***

Material: LuNbSi
Method: DFT, PBE
State: optimized geometry

Cell lengths 4.6947, 4.6947, 4.6947 Å; angles 60.00, 60.00, 60.00 degrees
Closest atoms and distances in Å follow each position.
Sites, in units of the cell vectors:
Lu: 0.0000 0.0000 0.0000  4 Nb 2.87, 4 Si 2.87
Nb: 0.2500 0.2500 0.2500  4 Lu 2.87
Si: 0.7500 0.7500 0.7500  4 Lu 2.87

Summary:
Density   6.7 g cm⁻³
Total DFT energy (no corrections)   -17.4 eV for the cell shown

***

Material: LuNbSi
Method: DFT, PBE
State: optimized geometry

Cell lengths 4.4899, 4.4899, 4.4899 Å; angles 60.00, 60.00, 60.00 degrees
Closest atoms and distances in Å follow each position.
Sites, in units of the cell vectors:
Lu: 0.2500 0.2500 0.2500  4 Si 2.75
Nb: 0.7500 0.7500 0.7500  4 Si 2.75
Si: 0.0000 0.0000 0.0000  4 Lu 2.75, 4 Nb 2.75

Summary:
Density   7.7 g cm⁻³
Total DFT energy (no corrections)   -20.4 eV for the cell shown